(1)
# SmHo4In, optimized geometry, DFT PBE-GGA
data_SmHo4In
_chemical_formula_sum 'Sm4 Ho16 In4'
_cell_length_a 4.8643
_cell_length_b 14.7463
_cell_length_c 9.8809
_cell_angle_alpha 90.00
_cell_angle_beta 90.00
_cell_angle_gamma 90.00
_symmetry_space_group_name_H-M 'C m c 21'
_symmetry_Int_Tables_number 36
loop_
_symmetry_equiv_pos_as_xyz
'x,y,z'
'-x,-y,z+1/2'
'-x,y,z'
'x,-y,z+1/2'
'x+1/2,y+1/2,z'
'-x+1/2,-y+1/2,z+1/2'
'-x+1/2,y+1/2,z'
'x+1/2,-y+1/2,z+1/2'
loop_
_atom_site_label
_atom_site_fract_x
_atom_site_fract_y
_atom_site_fract_z
Sm1 0.0000 0.1681 0.0000
Ho1 0.0000 0.0045 0.2583
Ho2 0.0000 0.1665 0.5148
Ho3 0.0000 0.3266 0.2581
Ho4 0.0000 0.4989 0.0079
In1 0.0000 0.3358 0.7588
# E_tot ... -106.13 eV/cell
# Volume ... 29.532 A^3/atom
# Magnetization ... 0.00 Bohr magnetons per cell
# ΔE to the lowest computed polymorph ... 21 meV per atom
# Mass density ... 8.67 g/cm³
# Energy relative to the elements ... -0.127 eV/atom

=====

(2)
# Sm3Ho7In, optimized geometry, DFT PBE-GGA
data_Sm3Ho7In
_chemical_formula_sum 'Sm3 Ho7 In1'
_cell_length_a 6.9607
_cell_length_b 6.9607
_cell_length_c 8.5293
_cell_angle_alpha 90.00
_cell_angle_beta 90.00
_cell_angle_gamma 120.00
_symmetry_space_group_name_H-M 'P 3 m 1'
_symmetry_Int_Tables_number 156
loop_
_symmetry_equiv_pos_as_xyz
'x,y,z'
'-y,x-y,z'
'-x+y,-x,z'
'-y,-x,z'
'-x+y,y,z'
'x,x-y,z'
loop_
_atom_site_label
_atom_site_fract_x
_atom_site_fract_y
_atom_site_fract_z
Sm1 0.1671 0.3342 0.0000
Ho1 0.0054 0.5027 0.3379
Ho2 0.3309 0.1655 0.6578
Ho3 0.3333 0.6667 0.6703
In1 0.0000 0.0000 0.3404
# E_tot ... -47.75 eV/cell
# Volume ... 32.536 A^3/atom
# Magnetization ... 0.00 Bohr magnetons per cell
# Mass density ... 7.98 g/cm³
# Energy relative to the elements ... 0.108 eV/atom

=====

(3)
# Sm12HoIn6, optimized geometry, DFT PBE-GGA
data_Sm12HoIn6
_chemical_formula_sum 'Sm36 Ho3 In18'
_cell_length_a 11.6284
_cell_length_b 11.6284
_cell_length_c 14.6307
_cell_angle_alpha 90.00
_cell_angle_beta 90.00
_cell_angle_gamma 120.00
_symmetry_space_group_name_H-M 'R -3'
_symmetry_Int_Tables_number 148
_symmetry_space_group_name_Hall '-R 3'
loop_
_atom_site_label
_atom_site_fract_x
_atom_site_fract_y
_atom_site_fract_z
Sm1 0.0629 0.8454 0.4097
Sm2 0.0703 0.1894 0.8064
Ho1 0.0000 0.0000 0.0000
In1 0.0307 0.4400 0.7132
# E_tot ... -246.00 eV/cell
# Volume ... 30.058 A^3/atom
# Magnetization ... 0.00 Bohr magnetons per cell
# Mass density ... 7.73 g/cm³
# Energy relative to the elements ... -0.230 eV/atom

=====

(4)
# Sm2HoIn4, optimized geometry, DFT PBE-GGA
data_Sm2HoIn4
_chemical_formula_sum 'Sm4 Ho2 In8'
_cell_length_a 5.6480
_cell_length_b 5.6480
_cell_length_c 15.8865
_cell_angle_alpha 90.00
_cell_angle_beta 90.00
_cell_angle_gamma 90.00
_symmetry_space_group_name_H-M 'I 4/m m m'
_symmetry_Int_Tables_number 139
_symmetry_space_group_name_Hall '-I 4 2'
loop_
_atom_site_label
_atom_site_fract_x
_atom_site_fract_y
_atom_site_fract_z
Sm1 0.0000 0.0000 0.1073
Ho1 0.0000 0.0000 0.5000
In1 0.0000 0.0000 0.3092
In2 0.0000 0.5000 0.0000
# E_tot ... -47.80 eV/cell
# Volume ... 36.199 A^3/atom
# Magnetization ... 1.89 Bohr magnetons per cell
# ΔE to the lowest computed polymorph ... 476 meV per atom
# Mass density ... 6.06 g/cm³
# Energy relative to the elements ... 0.153 eV/atom

=====

(5)
# Sm2Ho2In5, optimized geometry, DFT PBE-GGA
data_Sm2Ho2In5
_chemical_formula_sum 'Sm8 Ho8 In20'
_cell_length_a 14.3048
_cell_length_b 7.1594
_cell_length_c 10.0563
_cell_angle_alpha 90.00
_cell_angle_beta 90.00
_cell_angle_gamma 90.00
_symmetry_space_group_name_H-M 'I m a 2'
_symmetry_Int_Tables_number 46
loop_
_symmetry_equiv_pos_as_xyz
'x,y,z'
'-x,-y,z'
'-x+1/2,y,z'
'x+1/2,-y,z'
'x+1/2,y+1/2,z+1/2'
'-x+1/2,-y+1/2,z+1/2'
'-x,y+1/2,z+1/2'
'x,-y+1/2,z+1/2'
loop_
_atom_site_label
_atom_site_fract_x
_atom_site_fract_y
_atom_site_fract_z
Sm1 0.1270 0.0280 0.0000
Ho1 0.0000 0.0000 0.4352
Ho2 0.2500 0.5059 0.0643
In1 0.0458 0.1884 0.7124
In2 0.1510 0.7119 0.7751
In3 0.2500 0.1891 0.2844
# E_tot ... -138.90 eV/cell
# Volume ... 28.608 A^3/atom
# Magnetization ... 0.02 Bohr magnetons per cell
# Mass density ... 7.77 g/cm³
# Energy relative to the elements ... -0.271 eV/atom

=====

(6)
# Sm3HoIn2, optimized geometry, DFT PBE-GGA
data_Sm3HoIn2
_chemical_formula_sum 'Sm6 Ho2 In4'
_cell_length_a 5.2734
_cell_length_b 9.9669
_cell_length_c 6.7882
_cell_angle_alpha 90.00
_cell_angle_beta 90.00
_cell_angle_gamma 90.00
_symmetry_space_group_name_H-M 'P m c 21'
_symmetry_Int_Tables_number 26
loop_
_symmetry_equiv_pos_as_xyz
'x,y,z'
'-x,-y,z+1/2'
'-x,y,z'
'x,-y,z+1/2'
loop_
_atom_site_label
_atom_site_fract_x
_atom_site_fract_y
_atom_site_fract_z
Sm1 0.0000 0.0352 0.0000
Sm2 0.0000 0.3251 0.3390
Sm3 0.5000 0.1812 0.7253
Ho1 0.5000 0.4626 0.0624
In1 0.0000 0.3560 0.8218
In2 0.5000 0.1460 0.2442
# E_tot ... -52.66 eV/cell
# Volume ... 29.732 A^3/atom
# Magnetization ... 0.00 Bohr magnetons per cell
# ΔE to the lowest computed polymorph ... 0 meV per atom
# Mass density ... 7.87 g/cm³
# Energy relative to the elements ... -0.353 eV/atom

=====

(7)
# Sm6Ho2In3, optimized geometry, DFT PBE-GGA
data_Sm6Ho2In3
_chemical_formula_sum 'Sm12 Ho4 In6'
_cell_length_a 5.4134
_cell_length_b 5.4134
_cell_length_c 24.4779
_cell_angle_alpha 90.00
_cell_angle_beta 90.00
_cell_angle_gamma 90.00
_symmetry_space_group_name_H-M 'I 4/m m m'
_symmetry_Int_Tables_number 139
_symmetry_space_group_name_Hall '-I 4 2'
loop_
_atom_site_label
_atom_site_fract_x
_atom_site_fract_y
_atom_site_fract_z
Sm1 0.0000 0.0000 0.1974
Sm2 0.0000 0.5000 0.0993
Ho1 0.0000 0.0000 0.0580
In1 0.0000 0.0000 0.3259
In2 0.0000 0.0000 0.5000
# E_tot ... -86.53 eV/cell
# Volume ... 32.606 A^3/atom
# Magnetization ... 0.00 Bohr magnetons per cell
# Mass density ... 7.30 g/cm³
# Energy relative to the elements ... 0.220 eV/atom

=====

(8)
# SmHo4In, optimized geometry, DFT PBE-GGA
data_SmHo4In
_chemical_formula_sum 'Sm1 Ho4 In1'
_cell_length_a 3.5669
_cell_length_b 3.5669
_cell_length_c 14.2302
_cell_angle_alpha 90.00
_cell_angle_beta 90.00
_cell_angle_gamma 90.00
_symmetry_space_group_name_H-M 'P 4/m m m'
_symmetry_Int_Tables_number 123
_symmetry_space_group_name_Hall '-P 4 2'
loop_
_atom_site_label
_atom_site_fract_x
_atom_site_fract_y
_atom_site_fract_z
Sm1 0.0000 0.0000 0.0000
Ho1 0.0000 0.0000 0.3531
Ho2 0.5000 0.5000 0.1784
In1 0.5000 0.5000 0.5000
# E_tot ... -26.66 eV/cell
# Volume ... 30.174 A^3/atom
# Magnetization ... 0.00 Bohr magnetons per cell
# ΔE to the lowest computed polymorph ... 0 meV per atom
# Mass density ... 8.48 g/cm³
# Energy relative to the elements ... -0.149 eV/atom

=====

(9)
# Sm7Ho4In, optimized geometry, DFT PBE-GGA
data_Sm7Ho4In
_chemical_formula_sum 'Sm7 Ho4 In1'
_cell_length_a 6.5408
_cell_length_b 6.7399
_cell_length_c 9.0791
_cell_angle_alpha 85.56
_cell_angle_beta 76.80
_cell_angle_gamma 82.28
_symmetry_space_group_name_H-M 'P -1'
_symmetry_Int_Tables_number 2
loop_
_symmetry_equiv_pos_as_xyz
'x,y,z'
'-x,-y,-z'
loop_
_atom_site_label
_atom_site_fract_x
_atom_site_fract_y
_atom_site_fract_z
Sm1 0.0000 0.0000 0.0000
Sm2 0.1524 0.6032 0.3185
Sm3 0.1986 0.0961 0.3917
Sm4 0.4671 0.2536 0.0494
Ho1 0.3086 0.6973 0.6496
Ho2 0.3636 0.1932 0.7183
In1 0.0000 0.5000 0.0000
# E_tot ... -54.25 eV/cell
# Volume ... 32.141 A^3/atom
# Magnetization ... 0.00 Bohr magnetons per cell
# Mass density ... 7.87 g/cm³
# Energy relative to the elements ... -0.014 eV/atom

=====

(10)
# Sm8HoIn6, optimized geometry, DFT PBE-GGA
data_Sm8HoIn6
_chemical_formula_sum 'Sm24 Ho3 In18'
_cell_length_a 9.1553
_cell_length_b 9.1553
_cell_length_c 19.7521
_cell_angle_alpha 90.00
_cell_angle_beta 90.00
_cell_angle_gamma 120.00
_symmetry_space_group_name_H-M 'R -3'
_symmetry_Int_Tables_number 148
_symmetry_space_group_name_Hall '-R 3'
loop_
_atom_site_label
_atom_site_fract_x
_atom_site_fract_y
_atom_site_fract_z
Sm1 0.0000 0.0000 0.1660
Sm2 0.9995 0.3331 0.0522
Ho1 0.0000 0.0000 0.5000
In1 0.9997 0.3291 0.5557
# E_tot ... -186.78 eV/cell
# Volume ... 31.862 A^3/atom
# Magnetization ... 0.00 Bohr magnetons per cell
# Mass density ... 7.15 g/cm³
# Energy relative to the elements ... -0.233 eV/atom

=====

(11)
# Sm5Ho4In4, optimized geometry, DFT PBE-GGA
data_Sm5Ho4In4
_chemical_formula_sum 'Sm10 Ho8 In8'
_cell_length_a 12.3781
_cell_length_b 12.3781
_cell_length_c 5.0969
_cell_angle_alpha 90.00
_cell_angle_beta 90.00
_cell_angle_gamma 90.00
_symmetry_space_group_name_H-M 'I 4/m'
_symmetry_Int_Tables_number 87
_symmetry_space_group_name_Hall '-I 4'
loop_
_atom_site_label
_atom_site_fract_x
_atom_site_fract_y
_atom_site_fract_z
Sm1 0.0000 0.0000 0.0000
Sm2 0.0986 0.1900 0.5000
Ho1 0.0956 0.3939 0.0000
In1 0.1043 0.7632 0.0000
# E_tot ... -113.88 eV/cell
# Volume ... 30.036 A^3/atom
# Magnetization ... 0.00 Bohr magnetons per cell
# Mass density ... 7.96 g/cm³
# Energy relative to the elements ... -0.314 eV/atom

=====

(12)
# Sm8Ho6In, optimized geometry, DFT PBE-GGA
data_Sm8Ho6In
_chemical_formula_sum 'Sm8 Ho6 In1'
_cell_length_a 9.3107
_cell_length_b 9.3107
_cell_length_c 6.4879
_cell_angle_alpha 90.00
_cell_angle_beta 90.00
_cell_angle_gamma 120.00
_symmetry_space_group_name_H-M 'P -3'
_symmetry_Int_Tables_number 147
loop_
_symmetry_equiv_pos_as_xyz
'x,y,z'
'-x,-y,-z'
'-y,x-y,z'
'y,-x+y,-z'
'-x+y,-x,z'
'x-y,x,-z'
loop_
_atom_site_label
_atom_site_fract_x
_atom_site_fract_y
_atom_site_fract_z
Sm1 0.0403 0.2713 0.3200
Sm2 0.3333 0.6667 0.3459
Ho1 0.0963 0.4477 0.8324
In1 0.0000 0.0000 0.0000
# E_tot ... -66.72 eV/cell
# Volume ... 32.472 A^3/atom
# Magnetization ... 0.00 Bohr magnetons per cell
# Mass density ... 7.87 g/cm³
# Energy relative to the elements ... 0.083 eV/atom